Entry 1:
VASP calculation (GGA-PBE) on a relaxed structure of Cd2AgPt.

Lattice parameters (Å, degrees): 4.089 4.089 19.424 90.00 90.00 90.00
Fractional positions:
Cd1 0.242 0.250 0.125
Cd2 0.250 0.742 0.375
Cd3 0.250 0.758 0.875
Cd4 0.258 0.250 0.625
Cd5 0.742 0.750 0.625
Cd6 0.750 0.242 0.875
Cd7 0.750 0.258 0.375
Cd8 0.758 0.750 0.125
Ag1 0.000 0.000 0.500
Ag2 0.000 0.500 0.750
Ag3 0.500 0.000 0.250
Ag4 0.500 0.500 0.000
Pt1 0.000 0.000 0.000
Pt2 0.000 0.500 0.250
Pt3 0.500 0.000 0.750
Pt4 0.500 0.500 0.500

## Properties
Energy of formation from the pure elements ... 79 meV/atom
DFT total energy ... -2.60 eV per atom
Calculated density ... 10.80 g/cm3



Entry 2:
VASP calculation (GGA-PBE) on a relaxed structure of Cd2AgPt.

Lattice parameters (Å, degrees): 9.419 3.015 5.322 90.00 100.71 90.00
Fractional positions:
Cd1 0.245 0.000 0.243
Cd2 0.255 0.500 0.757
Cd3 0.745 0.500 0.243
Cd4 0.755 0.000 0.757
Ag1 0.000 0.000 0.500
Ag2 0.500 0.500 0.500
Pt1 0.000 0.500 0.000
Pt2 0.500 0.000 0.000

## Properties
Energy of formation from the pure elements ... -125 meV/atom
DFT total energy ... -2.81 eV per atom
Calculated density ... 11.80 g/cm3



Entry 3:
VASP calculation (GGA-PBE) on a relaxed structure of CdAg2Pt.

Lattice parameters (Å, degrees): 2.922 4.940 4.974 90.00 92.36 90.00
Fractional positions:
Cd1 0.000 0.000 0.000
Ag1 0.256 0.500 0.746
Ag2 0.744 0.500 0.254
Pt1 0.500 0.000 0.500

## Properties
Energy of formation from the pure elements ... -63 meV/atom
DFT total energy ... -3.23 eV per atom
Calculated density ... 12.11 g/cm3



Entry 4:
VASP calculation (GGA-PBE) on a relaxed structure of CdAg2Pt.

Lattice parameters (Å, degrees): 2.975 2.975 8.042 90.00 90.00 90.00
Fractional positions:
Cd1 0.000 0.000 0.000
Ag1 0.000 0.000 0.481
Ag2 0.500 0.500 0.733
Pt1 0.500 0.500 0.239

## Properties
Energy of formation from the pure elements ... -82 meV/atom
DFT total energy ... -3.25 eV per atom
Calculated density ... 12.20 g/cm3



Entry 5:
VASP calculation (GGA-PBE) on a relaxed structure of Cd6AgPt10.

Lattice parameters (Å, degrees): 7.632 7.632 5.699 100.76 100.76 107.20
Fractional positions:
Cd1 0.004 0.686 0.696
Cd2 0.314 0.996 0.304
Cd3 0.343 0.343 0.663
Cd4 0.657 0.657 0.337
Cd5 0.686 0.004 0.696
Cd6 0.996 0.314 0.304
Ag1 0.000 0.000 0.500
Pt1 0.005 0.342 0.823
Pt2 0.329 0.671 0.500
Pt3 0.330 0.330 0.150
Pt4 0.331 0.669 0.000
Pt5 0.342 0.005 0.823
Pt6 0.658 0.995 0.177
Pt7 0.669 0.331 0.000
Pt8 0.670 0.670 0.850
Pt9 0.671 0.329 0.500
Pt10 0.995 0.658 0.177

## Properties
Energy of formation from the pure elements ... -196 meV/atom
DFT total energy ... -4.24 eV per atom
Calculated density ... 15.08 g/cm3



Entry 6:
VASP calculation (GGA-PBE) on a relaxed structure of Cd2AgPt.

Lattice parameters (Å, degrees): 2.958 2.958 29.791 90.00 90.00 120.00
Fractional positions:
Cd1 0.000 0.000 0.000
Cd2 0.000 0.000 0.238
Cd3 0.333 0.667 0.667
Cd4 0.333 0.667 0.905
Cd5 0.667 0.333 0.333
Cd6 0.667 0.333 0.572
Ag1 0.000 0.000 0.489
Ag2 0.333 0.667 0.156
Ag3 0.667 0.333 0.822
Pt1 0.000 0.000 0.745
Pt2 0.333 0.667 0.411
Pt3 0.667 0.333 0.078

## Properties
Energy of formation from the pure elements ... -34 meV/atom
DFT total energy ... -2.71 eV per atom
Calculated density ... 11.64 g/cm3



Entry 7:
VASP calculation (GGA-PBE) on a relaxed structure of CdAgPt.

Lattice parameters (Å, degrees): 6.363 6.363 6.363 90.00 90.00 90.00
Fractional positions:
Cd1 0.000 0.000 0.000
Cd2 0.000 0.500 0.500
Cd3 0.500 0.000 0.500
Cd4 0.500 0.500 0.000
Ag1 0.000 0.000 0.500
Ag2 0.000 0.500 0.000
Ag3 0.500 0.000 0.000
Ag4 0.500 0.500 0.500
Pt1 0.250 0.250 0.250
Pt2 0.250 0.750 0.750
Pt3 0.750 0.250 0.750
Pt4 0.750 0.750 0.250

## Properties
Energy of formation from the pure elements ... 29 meV/atom
DFT total energy ... -3.24 eV per atom
Energy relative to the lowest polymorph listed for this composition ... 54.7 kJ/mol of formula units
Calculated density ... 10.71 g/cm3



Entry 8:
VASP calculation (GGA-PBE) on a relaxed structure of Cd2AgPt.

Lattice parameters (Å, degrees): 6.658 6.658 6.658 90.00 90.00 90.00
Fractional positions:
Cd1 0.000 0.000 0.000
Cd2 0.000 0.500 0.500
Cd3 0.250 0.250 0.250
Cd4 0.250 0.750 0.750
Cd5 0.500 0.000 0.500
Cd6 0.500 0.500 0.000
Cd7 0.750 0.250 0.750
Cd8 0.750 0.750 0.250
Ag1 0.000 0.000 0.500
Ag2 0.000 0.500 0.000
Ag3 0.500 0.000 0.000
Ag4 0.500 0.500 0.500
Pt1 0.250 0.250 0.750
Pt2 0.250 0.750 0.250
Pt3 0.750 0.250 0.250
Pt4 0.750 0.750 0.750

## Properties
Energy of formation from the pure elements ... -111 meV/atom
DFT total energy ... -2.79 eV per atom
Calculated density ... 11.88 g/cm3